First-principles (PBE) data for Na2SbBr6 after structural relaxation, as listed in Alexandria.

The structure in extended XYZ format:
```
18
Lattice="6.891 0.000 0.000 0.000 6.891 0.000 0.000 0.000 12.995" Properties=species:S:1:pos:R:3 pbc="T T T"
Na 0.000 0.000 2.162
Na 0.000 0.000 10.833
Na 3.445 3.445 4.336
Na 3.445 3.445 8.659
Sb 0.000 0.000 6.497
Sb 3.445 3.445 0.000
Br 1.307 1.307 4.497
Br 1.307 1.307 8.498
Br 1.510 1.510 0.000
Br 1.935 4.956 6.497
Br 2.138 4.753 2.000
Br 2.138 4.753 10.994
Br 4.753 2.138 2.000
Br 4.753 2.138 10.994
Br 4.956 1.935 6.497
Br 5.380 5.380 0.000
Br 5.583 5.583 4.497
Br 5.583 5.583 8.498
```

Summary:
space group	P4_2/mnm
E_form (uncorrected)	-0.91	eV per atom
offset from the most stable computed form	25	meV per atom
uncorrected energy	-49.93	eV per cell